Entry from Alexandria via LeMat-Bulk: crystalline Tb2DyTm4Sc at its relaxed geometry (PBE).

abc: 4.930 4.930 9.847
angles: 90.00 90.00 90.00
Fractional coordinates of all 8 atoms:
1 Tb 0.000 0.000 0.000
2 Tb 0.500 0.500 0.500
3 Dy 0.000 0.000 0.500
4 Tm 0.000 0.500 0.246
5 Tm 0.000 0.500 0.754
6 Tm 0.500 0.000 0.246
7 Tm 0.500 0.000 0.754
8 Sc 0.500 0.500 0.000

Properties
The total energy is -4.73 eV per atom. For the formation energy, the calculation gives 26 kJ/mol of formula units.